Below is a relaxed K3GaBr crystal, with properties calculated at the GGA-PBEsol level.

a b c (Å): 6.291 6.291 6.291
angles (deg): 90.00 90.00 90.00
Sites, in units of the cell vectors:
K: 0.000 0.000 0.500
K: 0.000 0.500 0.000
K: 0.500 0.000 0.000
Ga: 0.000 0.000 0.000
Br: 0.500 0.500 0.500

Formation energy (no corrections): -0.1887 eV/atom
Spin magnetization: 0.000 μB per atom
Space-group type: No. 221
Calculated total energy: -9.6 eV per formula unit

Below is a relaxed LaGaBr2 crystal, with properties calculated at the GGA-PBEsol level.

a b c (Å): 10.454 10.454 10.454
angles (deg): 20.38 20.38 20.38
Sites, in units of the cell vectors:
La: 0.000 0.000 0.000
Ga: 0.500 0.500 0.500
Br: 0.402 0.402 0.402
Br: 0.598 0.598 0.598

Formation energy (no corrections): -0.9940 eV/atom
Spin magnetization: 0.000 μB per atom
Space-group type: No. 166
Calculated total energy: -16.4 eV per formula unit

Below is a relaxed LiGa3Br crystal, with properties calculated at the GGA-PBEsol level.

a b c (Å): 4.748 4.748 4.748
angles (deg): 90.00 90.00 90.00
Sites, in units of the cell vectors:
Li: 0.000 0.000 0.000
Ga: 0.000 0.000 0.500
Ga: 0.000 0.500 0.000
Ga: 0.500 0.000 0.000
Br: 0.500 0.500 0.500

Formation energy (no corrections): 0.0890 eV/atom
Spin magnetization: 0.000 μB per atom
Space-group type: No. 221
Calculated total energy: -13.4 eV per formula unit

Below is a relaxed LiGaBr2 crystal, with properties calculated at the GGA-PBEsol level.

a b c (Å): 6.482 6.482 6.482
angles (deg): 112.06 112.06 104.42
Sites, in units of the cell vectors:
Li: 0.000 0.000 0.000
Li: 0.750 0.250 0.500
Ga: 0.250 0.750 0.500
Ga: 0.500 0.500 0.000
Br: 0.073 0.125 0.448
Br: 0.375 0.927 0.052
Br: 0.677 0.625 0.552
Br: 0.875 0.323 0.948

Formation energy (no corrections): -0.9306 eV/atom
Spin magnetization: 0.000 μB per atom
Space-group type: No. 122
Calculated total energy: -12.8 eV per formula unit

Below is a relaxed LiGaBr3 crystal, with properties calculated at the GGA-PBEsol level.

a b c (Å): 6.514 10.280 7.928
angles (deg): 90.00 93.48 90.00
Sites, in units of the cell vectors:
Li: 0.000 0.000 0.000
Li: 0.000 0.500 0.000
Li: 0.500 0.000 0.500
Li: 0.500 0.500 0.500
Ga: 0.024 0.250 0.540
Ga: 0.134 0.250 0.257
Ga: 0.866 0.750 0.743
Ga: 0.976 0.750 0.460
Br: 0.135 0.750 0.963
Br: 0.171 0.066 0.692
Br: 0.171 0.434 0.692
Br: 0.340 0.068 0.184
Br: 0.340 0.432 0.184
Br: 0.340 0.750 0.429
Br: 0.660 0.250 0.571
Br: 0.660 0.568 0.816
Br: 0.660 0.932 0.816
Br: 0.829 0.566 0.308
Br: 0.829 0.934 0.308
Br: 0.865 0.250 0.037

Formation energy (no corrections): -1.0704 eV/atom
Spin magnetization: 0.000 μB per atom
Space-group type: No. 11
Calculated total energy: -16.3 eV per formula unit

Below is a relaxed LiGaNi2Br crystal, with properties calculated at the GGA-PBEsol level.

a b c (Å): 4.411 4.411 4.431
angles (deg): 90.00 90.00 90.00
Sites, in units of the cell vectors:
Li: 0.000 0.000 0.000
Ga: 0.500 0.500 0.000
Ni: 0.000 0.500 0.500
Ni: 0.500 0.000 0.500
Br: 0.000 0.000 0.500

Formation energy (no corrections): 0.4110 eV/atom
Spin magnetization: 0.000 μB per atom
Space-group type: No. 123
Calculated total energy: -17.4 eV per formula unit

Below is a relaxed Li4Ga3Si3BrO12 crystal, with properties calculated at the GGA-PBEsol level.

a b c (Å): 8.553 8.553 8.553
angles (deg): 90.00 90.00 90.00
Sites, in units of the cell vectors:
Li: 0.177 0.177 0.177
Li: 0.177 0.823 0.823
Li: 0.323 0.323 0.677
Li: 0.323 0.677 0.323
Li: 0.677 0.323 0.323
Li: 0.677 0.677 0.677
Li: 0.823 0.177 0.823
Li: 0.823 0.823 0.177
Ga: 0.000 0.250 0.500
Ga: 0.000 0.750 0.500
Ga: 0.250 0.500 0.000
Ga: 0.500 0.000 0.250
Ga: 0.500 0.000 0.750
Ga: 0.750 0.500 0.000
Si: 0.000 0.500 0.250
Si: 0.000 0.500 0.750
Si: 0.250 0.000 0.500
Si: 0.500 0.250 0.000
Si: 0.500 0.750 0.000
Si: 0.750 0.000 0.500
Br: 0.000 0.000 0.000
Br: 0.500 0.500 0.500
O: 0.098 0.372 0.646
O: 0.098 0.628 0.354
O: 0.128 0.402 0.146
O: 0.128 0.598 0.854
O: 0.146 0.128 0.402
O: 0.146 0.872 0.598
O: 0.354 0.098 0.628
O: 0.354 0.902 0.372
O: 0.372 0.354 0.902
O: 0.372 0.646 0.098
O: 0.402 0.146 0.128
O: 0.402 0.854 0.872
O: 0.598 0.146 0.872
O: 0.598 0.854 0.128
O: 0.628 0.354 0.098
O: 0.628 0.646 0.902
O: 0.646 0.098 0.372
O: 0.646 0.902 0.628
O: 0.854 0.128 0.598
O: 0.854 0.872 0.402
O: 0.872 0.402 0.854
O: 0.872 0.598 0.146
O: 0.902 0.372 0.354
O: 0.902 0.628 0.646

Formation energy (no corrections): -2.3356 eV/atom
Spin magnetization: 0.009 μB per atom
Space-group type: No. 218
Calculated total energy: -153.7 eV per formula unit

Below is a relaxed MgGaBr3 crystal, with properties calculated at the GGA-PBEsol level.

a b c (Å): 5.203 5.203 5.203
angles (deg): 90.00 90.00 90.00
Sites, in units of the cell vectors:
Mg: 0.000 0.000 0.000
Ga: 0.500 0.500 0.500
Br: 0.000 0.500 0.500
Br: 0.500 0.000 0.500
Br: 0.500 0.500 0.000

Formation energy (no corrections): -0.4416 eV/atom
Spin magnetization: 0.001 μB per atom
Space-group type: No. 221
Calculated total energy: -12.9 eV per formula unit

Below is a relaxed MgGa3Br crystal, with properties calculated at the GGA-PBEsol level.

a b c (Å): 5.384 5.384 5.384
angles (deg): 90.00 90.00 90.00
Sites, in units of the cell vectors:
Mg: 0.000 0.000 0.000
Ga: 0.000 0.500 0.500
Ga: 0.500 0.000 0.500
Ga: 0.500 0.500 0.000
Br: 0.500 0.500 0.500

Formation energy (no corrections): 0.4799 eV/atom
Spin magnetization: 0.000 μB per atom
Space-group type: No. 221
Calculated total energy: -11.2 eV per formula unit

Below is a relaxed MgGaW2Br crystal, with properties calculated at the GGA-PBEsol level.

a b c (Å): 4.826 4.826 4.539
angles (deg): 90.00 90.00 90.00
Sites, in units of the cell vectors:
Mg: 0.000 0.000 0.000
Ga: 0.500 0.500 0.500
W: 0.000 0.500 0.000
W: 0.500 0.000 0.000
Br: 0.000 0.000 0.500

Formation energy (no corrections): 2.4479 eV/atom
Spin magnetization: 0.155 μB per atom
Space-group type: No. 123
Calculated total energy: -22.3 eV per formula unit

Below is a relaxed MnGaBr2 crystal, with properties calculated at the GGA-PBEsol level.

a b c (Å): 9.225 9.225 9.225
angles (deg): 23.03 23.03 23.03
Sites, in units of the cell vectors:
Mn: 0.000 0.000 0.000
Ga: 0.500 0.500 0.500
Br: 0.087 0.087 0.087
Br: 0.913 0.913 0.913

Formation energy (no corrections): 0.0220 eV/atom
Spin magnetization: 1.020 μB per atom
Space-group type: No. 166
Calculated total energy: -16.8 eV per formula unit

Below is a relaxed GaMo3Br crystal, with properties calculated at the GGA-PBEsol level.

a b c (Å): 4.533 4.533 4.533
angles (deg): 90.00 90.00 90.00
Sites, in units of the cell vectors:
Ga: 0.000 0.000 0.000
Mo: 0.000 0.500 0.500
Mo: 0.500 0.000 0.500
Mo: 0.500 0.500 0.000
Br: 0.500 0.500 0.500

Formation energy (no corrections): 1.5064 eV/atom
Spin magnetization: 0.000 μB per atom
Space-group type: No. 221
Calculated total energy: -33.0 eV per formula unit

> Number 6 is which compound?

LiGaNi2Br

> Among the records above, which one has the lowest calculated total energy?

Li4Ga3Si3BrO12

> What is the formation energy (no corrections) in the first record?

-0.1887 eV/atom

> calculated total energy of number 1 (K3GaBr)?

-9.6 eV per formula unit